No. 1
First-principles (PBE-GGA) data for a geometry-optimized Ba7Hg2Pd2 structure, as listed in Alexandria via LeMat-Bulk.

Lattice parameters (Å, degrees): 10.922 10.922 10.922 155.89 66.75 118.81
Atoms (fractional coordinates):
Ba (0.000, 0.000, 0.000)
Ba (0.083, 0.393, 0.690)
Ba (0.107, 0.749, 0.357)
Ba (0.392, 0.749, 0.643)
Ba (0.475, 0.595, 0.880)
Ba (0.703, 0.393, 0.310)
Ba (0.715, 0.595, 0.120)
Hg (0.333, 0.333, 0.000)
Hg (0.761, 0.261, 0.500)
Pd (0.341, 0.098, 0.243)
Pd (0.855, 0.098, 0.757)

## Properties
Space group: Imm2, No. 44
VASP energy (eV/atom): -2.61
D(E_F) (states/eV/cell): 8.8
E above lowest polymorph (meV per atom): 0.0
Formation enthalpy at 0 K (eV per formula unit): -4.2

No. 2
First-principles (PBE-GGA) data for a geometry-optimized CdSb2As structure, as listed in Alexandria via LeMat-Bulk.

Lattice parameters (Å, degrees): 5.102 5.102 3.734 90.00 90.00 90.00
Atoms (fractional coordinates):
Cd (0.000, 0.000, 0.000)
Sb (0.000, 0.500, 0.500)
Sb (0.500, 0.000, 0.500)
As (0.500, 0.500, 0.000)

## Properties
Space group: P4/mmm, No. 123
VASP energy (eV/atom): -3.20
D(E_F) (states/eV/cell): 2.2
E above lowest polymorph (meV per atom): 211.1
Energy relative to the elements, uncorrected (eV/f.u.): 1.02

No. 3
First-principles (PBE-GGA) data for a geometry-optimized YNi4B structure, as listed in Alexandria via LeMat-Bulk.

Lattice parameters (Å, degrees): 7.116 7.116 5.567 90.00 90.00 146.79
Atoms (fractional coordinates):
Y (0.103, 0.897, 0.750)
Y (0.897, 0.103, 0.250)
Ni (0.135, 0.865, 0.250)
Ni (0.297, 0.703, 0.511)
Ni (0.297, 0.703, 0.989)
Ni (0.500, 0.500, 0.000)
Ni (0.500, 0.500, 0.500)
Ni (0.703, 0.297, 0.011)
Ni (0.703, 0.297, 0.489)
Ni (0.865, 0.135, 0.750)
B (0.398, 0.602, 0.750)
B (0.602, 0.398, 0.250)

## Properties
Space group: Cmcm, No. 63
VASP energy (eV/atom): -6.37
D(E_F) (states/eV/cell): 7.2
E above lowest polymorph (meV per atom): 157.5
Formation enthalpy at 0 K (eV per formula unit): -2.0

No. 4
First-principles (PBE-GGA) data for a geometry-optimized ZrTi2Se4 structure, as listed in Alexandria via LeMat-Bulk.

Lattice parameters (Å, degrees): 6.220 6.220 13.398 90.00 90.00 146.69
Atoms (fractional coordinates):
Zr (0.114, 0.886, 0.750)
Zr (0.886, 0.114, 0.250)
Ti (0.351, 0.649, 0.561)
Ti (0.351, 0.649, 0.939)
Ti (0.649, 0.351, 0.061)
Ti (0.649, 0.351, 0.439)
Se (0.000, 0.000, 0.000)
Se (0.000, 0.000, 0.500)
Se (0.291, 0.709, 0.119)
Se (0.291, 0.709, 0.381)
Se (0.443, 0.557, 0.750)
Se (0.557, 0.443, 0.250)
Se (0.709, 0.291, 0.619)
Se (0.709, 0.291, 0.881)

## Properties
Space group: Cmcm, No. 63
VASP energy (eV/atom): -6.51
D(E_F) (states/eV/cell): 10.9
E above lowest polymorph (meV per atom): 161.7
Energy relative to the elements, uncorrected (eV/f.u.): -7.32

No. 5
First-principles (PBE-GGA) data for a geometry-optimized Nd2HoGa3 structure, as listed in Alexandria via LeMat-Bulk.

Lattice parameters (Å, degrees): 10.799 10.799 6.291 90.00 90.00 154.81
Atoms (fractional coordinates):
Nd (0.035, 0.965, 0.750)
Nd (0.147, 0.853, 0.250)
Nd (0.853, 0.147, 0.750)
Nd (0.965, 0.035, 0.250)
Ho (0.326, 0.674, 0.250)
Ho (0.674, 0.326, 0.750)
Ga (0.255, 0.745, 0.750)
Ga (0.437, 0.563, 0.548)
Ga (0.437, 0.563, 0.952)
Ga (0.563, 0.437, 0.048)
Ga (0.563, 0.437, 0.452)
Ga (0.745, 0.255, 0.250)

## Properties
Space group: Cmcm, No. 63
VASP energy (eV/atom): -4.34
D(E_F) (states/eV/cell): 11.2
E above lowest polymorph (meV per atom): 83.2
Formation enthalpy at 0 K (eV per formula unit): -2.9

No. 6
First-principles (PBE-GGA) data for a geometry-optimized K4Ac3TbTe8 structure, as listed in Alexandria via LeMat-Bulk.

Lattice parameters (Å, degrees): 9.938 9.938 9.938 57.31 57.31 57.31
Atoms (fractional coordinates):
K (0.000, 0.000, 0.000)
K (0.000, 0.500, 0.500)
K (0.500, 0.000, 0.500)
K (0.500, 0.500, 0.000)
Ac (0.000, 0.000, 0.500)
Ac (0.000, 0.500, 0.000)
Ac (0.500, 0.000, 0.000)
Tb (0.500, 0.500, 0.500)
Te (0.242, 0.242, 0.242)
Te (0.255, 0.731, 0.731)
Te (0.269, 0.269, 0.745)
Te (0.269, 0.745, 0.269)
Te (0.731, 0.255, 0.731)
Te (0.731, 0.731, 0.255)
Te (0.745, 0.269, 0.269)
Te (0.758, 0.758, 0.758)

## Properties
Space group: R-3m, No. 166
VASP energy (eV/atom): -4.37
D(E_F) (states/eV/cell): 0.0
Energy relative to the elements, uncorrected (eV/f.u.): -23.42

No. 7
First-principles (PBE-GGA) data for a geometry-optimized KBeCl2 structure, as listed in Alexandria via LeMat-Bulk.

Lattice parameters (Å, degrees): 6.187 6.187 4.830 96.95 96.95 34.09
Atoms (fractional coordinates):
K (0.000, 0.000, 0.000)
Be (0.235, 0.235, 0.533)
Cl (0.399, 0.399, 0.469)
Cl (0.717, 0.717, 0.783)

## Properties
Space group: Cm, No. 8
VASP energy (eV/atom): -3.08
D(E_F) (states/eV/cell): 0.8
E above lowest polymorph (meV per atom): 30.8
Energy relative to the elements, uncorrected (eV/f.u.): -3.81

No. 8
First-principles (PBE-GGA) data for a geometry-optimized HoThPSe structure, as listed in Alexandria via LeMat-Bulk.

Lattice parameters (Å, degrees): 7.512 7.512 7.512 30.94 30.94 30.94
Atoms (fractional coordinates):
Ho (0.000, 0.000, 0.000)
Th (0.813, 0.813, 0.813)
P (0.404, 0.404, 0.404)
Se (0.242, 0.242, 0.242)

## Properties
Space group: R3m, No. 160
VASP energy (eV/atom): -6.84
D(E_F) (states/eV/cell): 1.2
Energy relative to the elements, uncorrected (eV/f.u.): -6.46